A plane-wave DFT calculation with GGA+U was carried out for a relaxed BiMoIO2 crystal.

Results
Magnetic moment ... 2.1 μB/f.u.
Fermi-level density of states ... 5.683 states/eV per cell
Offset from the most stable computed form ... 0 meV/atom
Mass density ... 5.92 Mg/m³
Symmetry ... P4/mmm, No. 123

Cell lengths 4.121, 4.121, 7.665 Å; angles 90.00, 90.00, 90.00 degrees
Atoms (fractional coordinates):
Bi: 0.000 0.000 0.000
Mo: 0.500 0.500 0.500
I: 0.500 0.500 0.000
O: 0.000 0.500 0.500
O: 0.500 0.000 0.500